[1]
Material: K2MgBe2S4
Method: DFT, PBE
State: relaxed

Properties
As for the density of states at the Fermi level: 0.0000 states/eV/atom. Its uncorrected formation energy is -1.192 eV per atom. As for the space group: No. 12.

The structure in extended XYZ format:
```
9
Lattice="3.649 0.000 0.000 0.000 7.361 0.310 -1.824 -2.624 6.668" Properties=species:S:1:pos:R:3 pbc="T T T"
K 0.000 3.266 1.840
K 1.824 1.471 5.138
Mg 0.000 0.000 0.000
Be 1.824 6.271 2.643
Be 0.000 -1.534 4.335
S 0.000 0.045 2.825
S 1.824 4.691 4.153
S 1.824 5.623 0.679
S 0.000 -0.886 6.299
```

=====

[2]
Material: CaPd
Method: DFT, PBE
State: relaxed

Properties
Its electronic total energy is -43.19 eV/cell. As for the space group: No. 223.

The structure in extended XYZ format:
```
12
Lattice="-3.689 5.405 4.549 -5.300 -5.510 2.249 4.670 -1.984 6.145" Properties=species:S:1:pos:R:3 pbc="T T T"
Ca -3.572 -1.404 2.262
Ca -5.417 1.299 4.536
Ca -0.677 2.206 3.811
Ca 1.658 1.214 6.883
Ca 1.010 -2.370 3.635
Ca -1.640 -5.125 4.759
Pd 1.413 0.359 4.210
Pd -0.432 3.062 6.484
Pd -1.482 -3.251 2.661
Pd 0.853 -4.243 5.734
Pd -3.170 1.325 2.837
Pd -5.820 -1.430 3.961
```

=====

[3]
Material: MoAsAu2
Method: DFT, PBE
State: relaxed

Properties
Its electronic total energy is -20.62 eV/cell. As for the density of states at the Fermi level: 0.9373 states/eV/atom. As for the space group: No. 123.

The structure in extended XYZ format:
```
4
Lattice="-3.216 -1.487 2.974 0.536 -3.638 -1.240 2.737 -0.517 2.702" Properties=species:S:1:pos:R:3 pbc="T T T"
Mo -1.340 -2.563 0.867
Au 0.000 0.000 0.000
Au 1.637 -2.078 0.731
As -0.239 -1.002 2.838
```

=====

[4]
Material: Cs2NaPb
Method: DFT, PBE
State: relaxed

Properties
Its electronic total energy is -5.53 eV/cell. As for the density of states at the Fermi level: 0.9738 states/eV/atom. As for the space group: No. 166.

The structure in extended XYZ format:
```
4
Lattice="-0.492 -2.056 -3.648 2.663 -3.094 -1.051 -8.080 -11.584 5.181" Properties=species:S:1:pos:R:3 pbc="T T T"
Pb 0.000 0.000 0.000
Cs -5.856 -9.092 3.477
Cs -0.053 -7.643 -2.994
Na -2.954 -8.367 0.241
```